one) Computed, not measured: a PBEsol-optimized structure of Mg2MnGeI at the SCAN level of DFT.

extended XYZ file:
```
5
Lattice="5.037 0.000 0.000 0.000 5.037 0.000 0.000 0.000 5.844" Properties=species:S:1:pos:R:3 pbc="T T T"
Mg 0.000 2.518 0.000
Mg 2.518 0.000 0.000
Mn 0.000 0.000 2.922
Ge 2.518 2.518 0.000
I 2.518 2.518 2.922
```

Summary:
SG: P4/mmm

two) Computed, not measured: a PBEsol-optimized structure of Mg2MnGeI at the SCAN level of DFT.

extended XYZ file:
```
5
Lattice="5.351 0.000 0.000 0.000 5.351 0.000 0.000 0.000 4.495" Properties=species:S:1:pos:R:3 pbc="T T T"
Mg 0.000 2.675 0.000
Mg 2.675 0.000 0.000
Mn 0.000 0.000 0.000
Ge 0.000 0.000 2.248
I 2.675 2.675 2.248
```

Summary:
SG: P4/mmm

Most stable to least stable, the ends of the list are two) and one).

one) Computed, not measured: a PBEsol-optimized structure of SnGeIN2 at the SCAN level of DFT.

extended XYZ file:
```
5
Lattice="4.138 0.000 0.000 0.000 4.138 0.000 0.000 0.000 5.949" Properties=species:S:1:pos:R:3 pbc="T T T"
Sn 0.000 0.000 0.000
Ge 2.069 2.069 2.975
I 0.000 0.000 2.975
N 0.000 2.069 0.000
N 2.069 0.000 0.000
```

Summary:
SG: P4/mmm

two) Computed, not measured: a PBEsol-optimized structure of SnGeIN2 at the SCAN level of DFT.

extended XYZ file:
```
5
Lattice="4.080 0.000 0.000 0.000 4.080 0.000 0.000 0.000 5.490" Properties=species:S:1:pos:R:3 pbc="T T T"
Sn 0.000 0.000 0.000
Ge 2.040 2.040 2.745
I 2.040 2.040 0.000
N 0.000 2.040 2.745
N 2.040 0.000 2.745
```

Summary:
SG: P4/mmm

Most stable to least stable, the ends of the list are two) and one).

one) Computed, not measured: a PBEsol-optimized structure of SiGeIr3 at the SCAN level of DFT.

extended XYZ file:
```
5
Lattice="4.422 0.000 0.000 0.000 4.422 0.000 0.000 0.000 4.422" Properties=species:S:1:pos:R:3 pbc="T T T"
Si 0.000 0.000 0.000
Ge 2.211 2.211 2.211
Ir 0.000 0.000 2.211
Ir 0.000 2.211 0.000
Ir 2.211 0.000 0.000
```

Summary:
SG: Pm-3m

two) Computed, not measured: a PBEsol-optimized structure of SiGeIr3 at the SCAN level of DFT.

extended XYZ file:
```
5
Lattice="4.510 0.000 0.000 0.000 4.510 0.000 0.000 0.000 4.510" Properties=species:S:1:pos:R:3 pbc="T T T"
Si 0.000 0.000 0.000
Ge 2.255 2.255 2.255
Ir 0.000 2.255 2.255
Ir 2.255 0.000 2.255
Ir 2.255 2.255 0.000
```

Summary:
SG: Pm-3m

Most stable to least stable, the ends of the list are one) and two).

one) Computed, not measured: a PBEsol-optimized structure of SrLa2Ge2 at the SCAN level of DFT.

extended XYZ file:
```
5
Lattice="-2.328 2.328 6.642 2.328 -2.328 6.642 2.328 2.328 -6.642" Properties=species:S:1:pos:R:3 pbc="T T T"
Sr 0.000 0.000 0.000
La 2.328 0.000 3.321
La 0.000 2.328 3.321
Ge 0.000 0.000 5.396
Ge 0.000 0.000 7.888
```

Summary:
SG: I4/mmm

two) Computed, not measured: a PBEsol-optimized structure of SrLa2Ge2 at the SCAN level of DFT.

extended XYZ file:
```
10
Lattice="8.494 0.000 0.000 0.000 8.494 0.000 0.000 0.000 3.951" Properties=species:S:1:pos:R:3 pbc="T T T"
Sr 0.000 0.000 0.000
Sr 4.247 4.247 0.000
La 1.118 3.130 1.976
La 3.130 7.377 1.976
La 5.365 1.118 1.976
La 7.377 5.365 1.976
Ge 1.417 5.664 0.000
Ge 2.830 1.417 0.000
Ge 5.664 7.077 0.000
Ge 7.077 2.830 0.000
```

Summary:
SG: P4/mbm

Most stable to least stable, the ends of the list are two) and one).

one) Computed, not measured: a PBEsol-optimized structure of LaTiGe3 at the SCAN level of DFT.

extended XYZ file:
```
5
Lattice="5.367 0.000 0.000 0.000 5.367 0.000 0.000 0.000 5.367" Properties=species:S:1:pos:R:3 pbc="T T T"
La 0.000 0.000 0.000
Ti 2.684 2.684 2.684
Ge 0.000 0.000 2.684
Ge 0.000 2.684 0.000
Ge 2.684 0.000 0.000
```

Summary:
SG: Pm-3m

two) Computed, not measured: a PBEsol-optimized structure of LaTiGe3 at the SCAN level of DFT.

extended XYZ file:
```
5
Lattice="4.805 0.000 0.000 0.000 4.805 0.000 0.000 0.000 4.805" Properties=species:S:1:pos:R:3 pbc="T T T"
La 0.000 0.000 0.000
Ti 2.403 2.403 2.403
Ge 0.000 2.403 2.403
Ge 2.403 0.000 2.403
Ge 2.403 2.403 0.000
```

Summary:
SG: Pm-3m

three) Computed, not measured: a PBEsol-optimized structure of LaTiGe3 at the SCAN level of DFT.

extended XYZ file:
```
10
Lattice="6.256 0.000 0.000 -3.128 5.418 0.000 0.000 0.000 5.826" Properties=species:S:1:pos:R:3 pbc="T T T"
La 0.000 3.612 1.456
La 3.128 1.806 4.369
Ti 0.000 0.000 0.000
Ti 0.000 0.000 2.913
Ge 0.000 2.134 4.369
Ge -1.280 4.351 4.369
Ge 1.848 1.067 1.456
Ge 1.280 4.351 4.369
Ge 4.408 1.067 1.456
Ge 3.128 3.284 1.456
```

Summary:
SG: P6_3/mmc

Most stable to least stable, the ends of the list are three) and one).

one) Computed, not measured: a PBEsol-optimized structure of Li2MgGe2 at the SCAN level of DFT.

extended XYZ file:
```
10
Lattice="7.124 0.000 0.000 0.000 7.124 0.000 0.000 0.000 3.395" Properties=species:S:1:pos:R:3 pbc="T T T"
Li 1.234 2.328 0.000
Li 2.328 5.889 0.000
Li 4.796 1.234 0.000
Li 5.889 4.796 0.000
Mg 0.000 0.000 1.698
Mg 3.562 3.562 1.698
Ge 0.886 4.447 1.698
Ge 2.676 0.886 1.698
Ge 4.447 6.238 1.698
Ge 6.238 2.676 1.698
```

Summary:
SG: P4/mbm

two) Computed, not measured: a PBEsol-optimized structure of Li2MgGe2 at the SCAN level of DFT.

extended XYZ file:
```
5
Lattice="-1.924 1.924 5.886 1.924 -1.924 5.886 1.924 1.924 -5.886" Properties=species:S:1:pos:R:3 pbc="T T T"
Li 1.924 0.000 2.943
Li 0.000 1.924 2.943
Mg 0.000 0.000 0.000
Ge 0.000 0.000 4.700
Ge 0.000 0.000 7.072
```

Summary:
SG: I4/mmm

Most stable to least stable, the ends of the list are one) and two).